Arrangement a

Entry from the Alexandria database: an optimized crystal structure of YHf2Br (GGA-PBE).

Summary:
SG: Fm-3m

Cell lengths 5.1565, 5.1565, 5.1565 Å; angles 60.00, 60.00, 60.00 degrees
Site moments in Bohr magnetons follow the coordinates.
Fractional coordinates of all 4 atoms:
Y  0.5000  0.5000  0.5000  0.42
Hf  0.2500  0.2500  0.2500  0.31
Hf  0.7500  0.7500  0.7500  0.31
Br  0.0000  0.0000  0.0000  0.00



Arrangement b

Entry from the Alexandria database: an optimized crystal structure of YHf2Br (GGA-PBE).

Summary:
SG: I-42d

Cell lengths 4.1091, 4.1091, 12.3562 Å; angles 80.43, 80.43, 90.00 degrees
Fractional coordinates of all 8 atoms:
Y  0.0000  0.0000  0.0000
Y  0.7500  0.2500  0.5000
Hf  0.6289  0.1250  0.2500
Hf  0.1211  0.6250  0.2500
Hf  0.3750  0.3711  0.7500
Hf  0.8750  0.8789  0.7500
Br  0.5000  0.5000  0.0000
Br  0.2500  0.7500  0.5000



Tell me which of them is the most stable. Sure, it is arrangement b.